A) BaCu4Ge2 | the Alexandria database | PBE-GGA | optimized geometry; crystal system = tetragonal; Fermi-level density of states = 0.52 states/eV/atom; symmetry = I4/mcm (140); volume = 246.2 Å³/cell
1.0
-4.079 4.079 3.699
4.079 -4.079 3.699
4.079 4.079 -3.699
Ba Cu Ge
2 8 4
Direct
0.250 0.250 0.000 Ba
0.750 0.750 0.000 Ba
0.024 0.524 0.220 Cu
0.197 0.976 0.500 Cu
0.303 0.803 0.780 Cu
0.476 0.697 0.500 Cu
0.524 0.303 0.500 Cu
0.697 0.197 0.220 Cu
0.803 0.024 0.500 Cu
0.976 0.476 0.780 Cu
0.154 0.346 0.500 Ge
0.346 0.846 0.192 Ge
0.654 0.154 0.808 Ge
0.846 0.654 0.500 Ge

B) BaCu4Ge2 | the Alexandria database | PBE-GGA | optimized geometry; crystal system = orthorhombic; Fermi-level density of states = 0.50 states/eV/atom; symmetry = Cmmm (65); volume = 129.9 Å³/cell
1.0
2.151 -6.923 0.000
2.151 6.923 0.000
0.000 0.000 4.363
Ba Cu Ge
1 4 2
Direct
0.000 0.000 0.000 Ba
0.199 0.801 0.500 Cu
0.302 0.698 0.000 Cu
0.698 0.302 0.000 Cu
0.801 0.199 0.500 Cu
0.387 0.613 0.500 Ge
0.613 0.387 0.500 Ge

Energies in eV/atom, measured from the most stable structure: A) 0.012; B) 0.000.

A) BaLi2CuGe | the Alexandria database | PBE-GGA | optimized geometry; crystal system = tetragonal; Fermi-level density of states = 0.51 states/eV/atom; symmetry = P4/mmm (123); volume = 116.6 Å³/cell
1.0
5.023 0.000 0.000
0.000 5.023 0.000
0.000 0.000 4.623
Ba Li Cu Ge
1 2 1 1
Direct
0.000 0.000 0.000 Ba
0.000 0.500 0.500 Li
0.500 0.000 0.500 Li
0.500 0.500 0.500 Cu
0.500 0.500 0.000 Ge

B) BaLi2CuGe | the Alexandria database | PBE-GGA | optimized geometry; crystal system = tetragonal; Fermi-level density of states = 0.41 states/eV/atom; symmetry = P4/mmm (123); volume = 117.3 Å³/cell
1.0
4.982 0.000 0.000
0.000 4.982 0.000
0.000 0.000 4.724
Ba Li Cu Ge
1 2 1 1
Direct
0.000 0.000 0.000 Ba
0.000 0.500 0.500 Li
0.500 0.000 0.500 Li
0.500 0.500 0.000 Cu
0.500 0.500 0.500 Ge

Energies in eV/atom, measured from the most stable structure: A) 0.016; B) 0.000.

A) BaCuGePd2 | the Alexandria database | PBE-GGA | optimized geometry; crystal system = tetragonal; Fermi-level density of states = 0.64 states/eV/atom; symmetry = P4/mmm (123); volume = 113.9 Å³/cell
1.0
4.928 0.000 0.000
0.000 4.928 0.000
0.000 0.000 4.691
Ba Cu Ge Pd
1 1 1 2
Direct
0.000 0.000 0.000 Ba
0.500 0.500 0.000 Cu
0.500 0.500 0.500 Ge
0.000 0.500 0.500 Pd
0.500 0.000 0.500 Pd

B) BaCuGePd2 | the Alexandria database | PBE-GGA | optimized geometry; crystal system = tetragonal; Fermi-level density of states = 0.64 states/eV/atom; symmetry = P4/mmm (123); volume = 170.2 Å³/cell
1.0
5.338 0.000 0.000
0.000 5.338 0.000
0.000 0.000 5.972
Ba Cu Ge Pd
1 1 1 2
Direct
0.000 0.000 0.000 Ba
0.500 0.500 0.500 Cu
0.000 0.000 0.500 Ge
0.000 0.500 0.000 Pd
0.500 0.000 0.000 Pd

Energies in eV/atom, measured from the most stable structure: A) 0.000; B) 1.708.

A) BaCuH2 | the Alexandria database | PBE-GGA | optimized geometry; crystal system = tetragonal; Fermi-level density of states = 0.30 states/eV/atom; symmetry = I4_1/amd (141); volume = 119.1 Å³/cell
1.0
-2.366 2.366 5.319
2.366 -2.366 5.319
2.366 2.366 -5.319
Ba Cu H
2 2 4
Direct
0.375 0.625 0.750 Ba
0.625 0.375 0.250 Ba
0.125 0.875 0.250 Cu
0.875 0.125 0.750 Cu
0.000 0.000 0.000 H
0.000 0.000 0.500 H
0.000 0.500 0.000 H
0.500 0.000 0.500 H

B) BaCuH2 | the Alexandria database | PBE-GGA | optimized geometry; crystal system = cubic; Fermi-level density of states = 0.19 states/eV/atom; symmetry = Fm-3m (225); volume = 67.3 Å³/cell
1.0
0.000 3.228 3.228
3.228 0.000 3.228
3.228 3.228 0.000
Ba Cu H
1 1 2
Direct
0.000 0.000 0.000 Ba
0.500 0.500 0.500 Cu
0.250 0.250 0.250 H
0.750 0.750 0.750 H

Energies in eV/atom, measured from the most stable structure: A) 0.000; B) 0.206.